# TlReRu3

A crystal of TlReRu3 relaxed with PBEsol (meta-GGA SCAN, the Alexandria database).

```
TlReRu3
1.0
4.642 0.000 0.000
0.000 4.642 0.000
0.000 0.000 4.642
Re Tl Ru
1 1 3
Direct
0.000 0.000 0.000
0.500 0.500 0.500
0.000 0.500 0.000
0.000 0.000 0.500
0.500 0.000 0.000
```

## Properties
Calculated volume ... 100.06 Å³/cell
Spin magnetization ... 0.00 Bohr magnetons per cell
Space-group type ... No. 221
Total DFT energy (no corrections) ... -48.04 eV/atom